(1)
# CaZr2C2 PBE optimized geometry
# * magnetization: 0.00 μB per formula unit
# * crystal system: tetragonal
# * uncorrected energy: -0.54332 Ry/atom
# * energy relative to the elements: 117 meV per atom
# * offset from the most stable computed form: 0 meV/atom
# * space-group type: I4/mmm, No. 139
data_CaZr2C2
_symmetry_space_group_name_H-M 'P 1'
_symmetry_Int_Tables_number 1
_symmetry_space_group_name_Hall 'P 1'
_cell_length_a 4.3523
_cell_length_b 4.3523
_cell_length_c 11.5189
_cell_angle_alpha 90.00
_cell_angle_beta 90.00
_cell_angle_gamma 90.00
loop_
_atom_site_label
_atom_site_fract_x
_atom_site_fract_y
_atom_site_fract_z
Ca1 0.0000 0.0000 0.0000
Ca2 0.5000 0.5000 0.5000
Zr1 0.0000 0.5000 0.2500
Zr2 0.0000 0.5000 0.7500
Zr3 0.5000 0.0000 0.2500
Zr4 0.5000 0.0000 0.7500
C1 0.0000 0.0000 0.3092
C2 0.0000 0.0000 0.6908
C3 0.5000 0.5000 0.1908
C4 0.5000 0.5000 0.8092

(2)
# CaZr2C2 PBE optimized geometry
# * magnetization: 0.00 μB per formula unit
# * crystal system: tetragonal
# * uncorrected energy: -0.53910 Ry/atom
# * energy relative to the elements: 174 meV per atom
# * offset from the most stable computed form: 57 meV/atom
# * space-group type: P4/mbm, No. 127
data_CaZr2C2
_symmetry_space_group_name_H-M 'P 1'
_symmetry_Int_Tables_number 1
_symmetry_space_group_name_Hall 'P 1'
_cell_length_a 6.6663
_cell_length_b 6.6663
_cell_length_c 3.3104
_cell_angle_alpha 90.00
_cell_angle_beta 90.00
_cell_angle_gamma 90.00
loop_
_atom_site_label
_atom_site_fract_x
_atom_site_fract_y
_atom_site_fract_z
Ca1 0.0000 0.0000 0.0000
Ca2 0.5000 0.5000 0.0000
Zr1 0.1565 0.3435 0.5000
Zr2 0.3435 0.8435 0.5000
Zr3 0.6565 0.1565 0.5000
Zr4 0.8435 0.6565 0.5000
C1 0.1526 0.6526 0.0000
C2 0.3474 0.1526 0.0000
C3 0.6526 0.8474 0.0000
C4 0.8474 0.3474 0.0000

(3)
# CaZrC2 PBE optimized geometry
# * magnetization: 0.00 μB per formula unit
# * crystal system: cubic
# * uncorrected energy: -0.46965 Ry/atom
# * energy relative to the elements: 859 meV per atom
# * offset from the most stable computed form: 386 meV/atom
# * space-group type: Fm-3m, No. 225
data_CaZrC2
_symmetry_space_group_name_H-M 'P 1'
_symmetry_Int_Tables_number 1
_symmetry_space_group_name_Hall 'P 1'
_cell_length_a 5.9953
_cell_length_b 5.9953
_cell_length_c 5.9953
_cell_angle_alpha 90.00
_cell_angle_beta 90.00
_cell_angle_gamma 90.00
loop_
_atom_site_label
_atom_site_fract_x
_atom_site_fract_y
_atom_site_fract_z
Ca1 0.0000 0.0000 0.0000
Ca2 0.0000 0.5000 0.5000
Ca3 0.5000 0.0000 0.5000
Ca4 0.5000 0.5000 0.0000
Zr1 0.0000 0.0000 0.5000
Zr2 0.0000 0.5000 0.0000
Zr3 0.5000 0.0000 0.0000
Zr4 0.5000 0.5000 0.5000
C1 0.2500 0.2500 0.2500
C2 0.2500 0.2500 0.7500
C3 0.2500 0.7500 0.2500
C4 0.2500 0.7500 0.7500
C5 0.7500 0.2500 0.2500
C6 0.7500 0.2500 0.7500
C7 0.7500 0.7500 0.2500
C8 0.7500 0.7500 0.7500

(4)
# Ca3ZrC PBE optimized geometry
# * magnetization: 1.70 μB per formula unit
# * crystal system: cubic
# * uncorrected energy: -0.30273 Ry/atom
# * energy relative to the elements: 637 meV per atom
# * space-group type: Pm-3m, No. 221
data_Ca3ZrC
_symmetry_space_group_name_H-M 'P 1'
_symmetry_Int_Tables_number 1
_symmetry_space_group_name_Hall 'P 1'
_cell_length_a 5.1234
_cell_length_b 5.1234
_cell_length_c 5.1234
_cell_angle_alpha 90.00
_cell_angle_beta 90.00
_cell_angle_gamma 90.00
loop_
_atom_site_label
_atom_site_fract_x
_atom_site_fract_y
_atom_site_fract_z
Ca1 0.0000 0.0000 0.5000
Ca2 0.0000 0.5000 0.0000
Ca3 0.5000 0.0000 0.0000
Zr1 0.5000 0.5000 0.5000
C1 0.0000 0.0000 0.0000

Question: What is the formula in the first record?
Answer: CaZr2C2

Question: Number 3 is which compound?
Answer: CaZrC2

Question: Which of these has the lowest uncorrected energy?
Answer: number 1